DFT (PBE) results for a relaxed structure of LiLuHgBi.

Fermi-level density of states	2.62	states/eV/cell
total moment	0.00	μB/atom
formation energy from the elements	-410	meV per atom

a b c (Å): 5.170 5.170 5.170
angles (deg): 60.00 60.00 60.00
Fractional positions:
1 Hg 0.500 0.500 0.500
2 Lu 0.750 0.750 0.750
3 Bi 0.000 0.000 0.000
4 Li 0.250 0.250 0.250